Here is a relaxed Cu3SiBi crystal from the Alexandria database. Energies are from PBE.

Geometry as POSCAR:
```
Cu3SiBi
1.0
4.514 0.000 0.000
0.000 4.514 0.000
0.000 0.000 4.514
Si Bi Cu
1 1 3
Direct
0.000 0.000 0.000
0.500 0.500 0.500
0.000 0.500 0.000
0.000 0.000 0.500
0.500 0.000 0.000
```

Results
E_form (uncorrected) = 9.061 kcal/mol of atoms
energy above the lowest structure with this stoichiometry = 0 kJ/mol of formula units
space-group type = Pm-3m (221)
total magnetic moment = 0.00 μB/atom